Entry 1:
Density functional theory data (PBE-GGA) for crystalline LiPmPPt at its relaxed geometry.

Computed properties:
- N(E_F) (states/eV/atom) = 0.600
- density (g cm⁻³) = 7.6
- E (eV per atom) = -5.304
- space group = No. 129
- DFT formation energy (eV/atom) = -0.78

abc: 4.1494 4.1494 9.6186
angles: 90.00 90.00 90.00
Fractional coordinates of all 8 atoms:
Li 0.0000 0.0000 0.5000
Li 0.5000 0.5000 0.5000
Pm 0.0000 0.5000 0.8325
Pm 0.5000 0.0000 0.1675
P 0.5000 0.0000 0.8768
P 0.0000 0.5000 0.1232
Pt 0.0000 0.5000 0.3576
Pt 0.5000 0.0000 0.6424

Entry 2:
Density functional theory data (PBE-GGA) for crystalline HoTm7Cd4 at its relaxed geometry.

Computed properties:
- N(E_F) (states/eV/atom) = 1.104
- density (g cm⁻³) = 8.9
- E (eV per atom) = -3.261
- space group = No. 12
- DFT formation energy (eV/atom) = 0.03

abc: 5.6416 8.9095 7.7860
angles: 69.86 68.76 71.54
Fractional coordinates of all 12 atoms:
Ho 0.0000 0.0000 0.0000
Tm 0.7931 0.8812 0.5325
Tm 0.2069 0.1188 0.4675
Tm 0.0727 0.5847 0.2700
Tm 0.9273 0.4153 0.7300
Tm 0.2599 0.6961 0.7842
Tm 0.5000 0.0000 0.0000
Tm 0.7401 0.3039 0.2158
Cd 0.5423 0.2898 0.6257
Cd 0.4577 0.7103 0.3743
Cd 0.6811 0.6589 0.9789
Cd 0.3189 0.3411 0.0211

Entry 3:
Density functional theory data (PBE-GGA) for crystalline KLiTlBi at its relaxed geometry.

Computed properties:
- N(E_F) (states/eV/atom) = 0.376
- density (g cm⁻³) = 6.2
- E (eV per atom) = -2.554
- space group = No. 216
- DFT formation energy (eV/atom) = -0.24

abc: 5.5956 5.5956 5.5956
angles: 60.00 60.00 60.00
Fractional coordinates of all 4 atoms:
K 0.2500 0.2500 0.2500
Tl 0.5000 0.5000 0.5000
Bi 0.7500 0.7500 0.7500
Li 0.0000 0.0000 0.0000

Entry 4:
Density functional theory data (PBE-GGA) for crystalline LaTb5Ag6 at its relaxed geometry.

Computed properties:
- N(E_F) (states/eV/atom) = 0.527
- density (g cm⁻³) = 8.8
- E (eV per atom) = -4.066
- space group = No. 10
- DFT formation energy (eV/atom) = -0.30

abc: 5.2243 7.3002 8.2942
angles: 90.00 71.37 90.00
Fractional coordinates of all 12 atoms:
Tb 0.6651 0.5000 0.6696
Tb 0.3315 0.0000 0.3370
Tb 0.0000 0.5000 0.0000
Tb 0.6685 0.0000 0.6630
Tb 0.3349 0.5000 0.3304
Ag 0.8291 0.7439 0.3423
Ag 0.8291 0.2561 0.3423
Ag 0.5000 0.2624 0.0000
Ag 0.5000 0.7376 0.0000
Ag 0.1709 0.7439 0.6577
Ag 0.1709 0.2561 0.6577
La 0.0000 0.0000 0.0000

Entry 5:
Density functional theory data (PBE-GGA) for crystalline Y2ZrTe at its relaxed geometry.

Computed properties:
- N(E_F) (states/eV/atom) = 1.268
- density (g cm⁻³) = 6.0
- E (eV per atom) = -6.590
- space group = No. 99
- formation energy without anion corrections (eV/atom) = -0.435

abc: 3.7558 3.7558 7.8011
angles: 90.00 90.00 90.00
Fractional coordinates of all 4 atoms:
Te 0.5000 0.5000 0.7153
Y 0.0000 0.0000 0.9707
Y 0.5000 0.5000 0.2760
Zr 0.0000 0.0000 0.5380

Entry 6:
Density functional theory data (PBE-GGA) for crystalline CrHS at its relaxed geometry.

Computed properties:
- N(E_F) (states/eV/atom) = 0.235
- density (g cm⁻³) = 4.6
- E (eV per atom) = -5.741
- space group = No. 8

abc: 2.9136 2.9240 7.7788
angles: 90.00 111.85 90.00
Fractional coordinates of all 6 atoms:
Cr 0.9978 0.0000 0.3145
Cr 0.9978 0.5000 0.8145
H 0.1115 0.0000 0.9327
H 0.1115 0.5000 0.4327
S 0.3401 0.0000 0.6558
S 0.3401 0.5000 0.1558

Entry 7:
Density functional theory data (PBE-GGA) for crystalline Mn21P6W2 at its relaxed geometry.

Computed properties:
- N(E_F) (states/eV/atom) = 1.195
- density (g cm⁻³) = 8.4
- E (eV per atom) = -8.923
- space group = No. 225
- DFT formation energy (eV/atom) = -0.27

abc: 7.8218 7.8218 7.8218
angles: 60.00 60.00 60.00
Fractional coordinates of all 29 atoms:
Mn 0.0000 0.0000 0.0000
Mn 0.6234 0.6234 0.1299
Mn 0.6234 0.6234 0.6234
Mn 0.6234 0.1299 0.6234
Mn 0.1299 0.6234 0.6234
Mn 0.3766 0.3766 0.8701
Mn 0.3766 0.3766 0.3766
Mn 0.3766 0.8701 0.3766
Mn 0.8701 0.3766 0.3766
Mn 0.6490 0.0000 0.3510
Mn 0.0000 0.6490 0.3510
Mn 0.0000 0.0000 0.3510
Mn 0.0000 0.6490 0.0000
Mn 0.6490 0.0000 0.0000
Mn 0.0000 0.0000 0.6490
Mn 0.0000 0.3510 0.0000
Mn 0.0000 0.3510 0.6490
Mn 0.6490 0.3510 0.0000
Mn 0.3510 0.0000 0.6490
Mn 0.3510 0.0000 0.0000
Mn 0.3510 0.6490 0.0000
P 0.2748 0.7252 0.2748
P 0.7252 0.2748 0.2748
P 0.7252 0.7252 0.2748
P 0.7252 0.2748 0.7252
P 0.2748 0.7252 0.7252
P 0.2748 0.2748 0.7252
W 0.7500 0.7500 0.7500
W 0.2500 0.2500 0.2500

Entry 8:
Density functional theory data (PBE-GGA) for crystalline NaNdSn4 at its relaxed geometry.

Computed properties:
- N(E_F) (states/eV/atom) = 0.339
- density (g cm⁻³) = 6.0
- E (eV per atom) = -4.040
- space group = No. 63
- DFT formation energy (eV/atom) = -0.36

abc: 4.7542 6.5323 11.7107
angles: 90.00 101.71 90.00
Fractional coordinates of all 12 atoms:
Na 0.7284 0.2500 0.4568
Na 0.2716 0.7500 0.5432
Nd 0.4360 0.2500 0.8720
Nd 0.5640 0.7500 0.1280
Sn 0.0000 0.0000 0.0000
Sn 0.0000 0.5000 0.0000
Sn 0.1464 0.9957 0.2927
Sn 0.8536 0.4957 0.7073
Sn 0.1464 0.5043 0.2927
Sn 0.8536 0.0043 0.7073
Sn 0.5834 0.2500 0.1669
Sn 0.4166 0.7500 0.8331

Entry 9:
Density functional theory data (PBE-GGA) for crystalline Na3HoTi2Nb2O12 at its relaxed geometry.

Computed properties:
- N(E_F) (states/eV/atom) = 0.000
- density (g cm⁻³) = 4.9
- E (eV per atom) = -7.928
- space group = No. 26
- formation energy without anion corrections (eV/atom) = -2.730

abc: 5.4605 5.5994 15.5578
angles: 90.00 90.00 90.00
Fractional coordinates of all 40 atoms:
Na 0.7461 0.9751 0.2475
Na 0.7461 0.9751 0.7525
Na 0.2539 0.4751 0.7525
Na 0.2539 0.4751 0.2475
Na 0.2405 0.5080 0.5000
Na 0.7595 0.0080 0.5000
Ho 0.2663 0.5643 0.0000
Ho 0.7337 0.0643 0.0000
Ti 0.7686 0.5264 0.8746
Ti 0.7686 0.5264 0.1254
Ti 0.2314 0.0264 0.1254
Ti 0.2314 0.0264 0.8746
Nb 0.7444 0.4837 0.3718
Nb 0.7444 0.4837 0.6282
Nb 0.2556 0.9837 0.6282
Nb 0.2556 0.9837 0.3718
O 0.8508 0.4585 0.0000
O 0.8055 0.4955 0.5000
O 0.9502 0.2090 0.3574
O 0.9397 0.1867 0.1343
O 0.9502 0.2090 0.6426
O 0.9397 0.1867 0.8657
O 0.0603 0.6867 0.1343
O 0.0498 0.7090 0.3574
O 0.0498 0.7090 0.6426
O 0.0603 0.6867 0.8657
O 0.1492 0.9585 0.0000
O 0.1945 0.9955 0.5000
O 0.3104 0.0209 0.2445
O 0.3104 0.0209 0.7555
O 0.4454 0.3080 0.3869
O 0.4478 0.2770 0.9083
O 0.4478 0.2770 0.0917
O 0.4454 0.3080 0.6131
O 0.5522 0.7770 0.9083
O 0.5522 0.7770 0.0917
O 0.5546 0.8080 0.3869
O 0.5546 0.8080 0.6131
O 0.6896 0.5209 0.2445
O 0.6896 0.5209 0.7555

Entry 10:
Density functional theory data (PBE-GGA) for crystalline Ag2BiPt2 at its relaxed geometry.

Computed properties:
- N(E_F) (states/eV/atom) = 0.525
- density (g cm⁻³) = 14.0
- E (eV per atom) = -4.210
- space group = No. 127
- DFT formation energy (eV/atom) = 0.12

abc: 7.9873 7.9873 3.0279
angles: 90.00 90.00 90.00
Fractional coordinates of all 10 atoms:
Ag 0.3759 0.8759 0.0000
Ag 0.8759 0.6241 0.0000
Ag 0.6241 0.1241 0.0000
Ag 0.1241 0.3759 0.0000
Bi 0.0000 0.0000 0.0000
Bi 0.5000 0.5000 0.0000
Pt 0.1722 0.6722 0.5000
Pt 0.6722 0.8278 0.5000
Pt 0.8278 0.3278 0.5000
Pt 0.3278 0.1722 0.5000

Entry 11:
Density functional theory data (PBE-GGA) for crystalline Nd2InS5 at its relaxed geometry.

Computed properties:
- N(E_F) (states/eV/atom) = 0.740
- density (g cm⁻³) = 3.9
- E (eV per atom) = -5.350
- space group = No. 63
- formation energy without anion corrections (eV/atom) = -1.236

abc: 5.4795 7.5704 12.4811
angles: 90.00 90.00 111.22
Fractional coordinates of all 16 atoms:
Nd 0.8398 0.6797 0.4284
Nd 0.8398 0.6797 0.0716
Nd 0.1601 0.3203 0.5716
Nd 0.1601 0.3203 0.9284
In 0.8273 0.6547 0.7500
In 0.1727 0.3453 0.2500
S 0.9659 0.9318 0.8927
S 0.9659 0.9318 0.6073
S 0.2962 0.5924 0.4071
S 0.2962 0.5924 0.0929
S 0.7135 0.4271 0.2500
S 0.2865 0.5729 0.7500
S 0.7038 0.4076 0.5929
S 0.7038 0.4076 0.9071
S 0.0341 0.0682 0.1073
S 0.0341 0.0682 0.3927

Entry 12:
Density functional theory data (PBE-GGA) for crystalline SrAl2CuAu5 at its relaxed geometry.

Computed properties:
- N(E_F) (states/eV/atom) = 0.323
- density (g cm⁻³) = 10.2
- E (eV per atom) = -3.609
- space group = No. 71
- DFT formation energy (eV/atom) = -0.31

abc: 4.7919 6.0825 7.7141
angles: 113.22 108.09 90.00
Fractional coordinates of all 9 atoms:
Sr 0.0000 0.5000 0.0000
Al 0.1882 0.1882 0.3763
Al 0.8118 0.8118 0.6237
Cu 0.5000 0.0000 0.0000
Au 0.6654 0.9231 0.3308
Au 0.3346 0.0769 0.6692
Au 0.3346 0.5923 0.6692
Au 0.6654 0.4077 0.3308
Au 0.0000 0.0000 0.0000

Entry 13:
Density functional theory data (PBE-GGA) for crystalline Ac7Pm12Tm at its relaxed geometry.

Computed properties:
- N(E_F) (states/eV/atom) = 1.589
- density (g cm⁻³) = 6.5
- E (eV per atom) = -3.679
- space group = No. 204
- DFT formation energy (eV/atom) = 0.83

abc: 10.4875 10.4875 10.4875
angles: 109.47 109.47 109.47
Fractional coordinates of all 20 atoms:
Ac 0.5000 0.5000 0.0000
Ac 0.0000 0.5000 0.5000
Ac 0.5000 0.0000 0.5000
Ac 0.5000 0.5000 0.5000
Ac 0.0000 0.0000 0.5000
Ac 0.5000 0.0000 0.0000
Ac 0.0000 0.5000 0.0000
Pm 0.4360 0.6798 0.7561
Pm 0.9237 0.6798 0.2439
Pm 0.5640 0.3202 0.2439
Pm 0.0763 0.3202 0.7561
Pm 0.7561 0.0763 0.3202
Pm 0.7561 0.4360 0.6798
Pm 0.2439 0.9237 0.6798
Pm 0.2439 0.5640 0.3202
Pm 0.6798 0.7561 0.4360
Pm 0.3202 0.2439 0.5640
Pm 0.6798 0.2439 0.9237
Pm 0.3202 0.7561 0.0763
Tm 0.0000 0.0000 0.0000

Entry 14:
Density functional theory data (PBE-GGA) for crystalline Zn2Rh2Pb at its relaxed geometry.

Computed properties:
- N(E_F) (states/eV/atom) = 0.829
- density (g cm⁻³) = 10.5
- E (eV per atom) = -4.250
- space group = No. 139
- DFT formation energy (eV/atom) = -0.06

abc: 3.5959 3.5959 7.0967
angles: 75.32 75.32 90.00
Fractional coordinates of all 5 atoms:
Pb 0.0000 0.0000 0.0000
Zn 0.7500 0.2500 0.5000
Zn 0.2500 0.7500 0.5000
Rh 0.3942 0.3942 0.2116
Rh 0.6058 0.6058 0.7884

Entry 15:
Density functional theory data (PBE-GGA) for crystalline Pr6Nd2Tl at its relaxed geometry.

Computed properties:
- N(E_F) (states/eV/atom) = 1.517
- density (g cm⁻³) = 7.2
- E (eV per atom) = -4.547
- space group = No. 136
- DFT formation energy (eV/atom) = -0.04

abc: 5.0912 11.0432 11.0445
angles: 90.00 90.01 90.00
Fractional coordinates of all 18 atoms:
Pr 0.0000 0.0003 0.1672
Pr 0.9999 0.6675 0.5005
Pr 0.9997 0.6610 0.8392
Pr 0.5003 0.1610 0.6608
Pr 0.5001 0.1675 0.9995
Pr 0.5000 0.5003 0.3328
Pr 0.0000 0.9997 0.8328
Pr 0.0001 0.3325 0.4995
Pr 0.0003 0.3390 0.1608
Pr 0.4997 0.8390 0.3392
Pr 0.4999 0.8325 0.0005
Pr 0.5000 0.4997 0.6672
Nd 0.0001 0.3390 0.8387
Nd 0.4999 0.8390 0.6613
Nd 0.5001 0.1610 0.3387
Nd 0.9999 0.6610 0.1613
Tl 0.5000 0.5000 0.0000
Tl 0.0000 0.0000 0.5000

Entry 16:
Density functional theory data (PBE-GGA) for crystalline Tb4CeSm10 at its relaxed geometry.

Computed properties:
- N(E_F) (states/eV/atom) = 1.667
- density (g cm⁻³) = 7.5
- E (eV per atom) = -4.445
- space group = No. 87
- DFT formation energy (eV/atom) = 0.33

abc: 10.6589 8.7208 8.7208
angles: 68.07 52.33 52.33
Fractional coordinates of all 15 atoms:
Tb 0.3306 0.7291 0.6097
Tb 0.9403 0.3903 0.7291
Tb 0.0597 0.6097 0.2709
Tb 0.6694 0.2709 0.3903
Ce 0.0000 0.0000 0.0000
Sm 0.2500 0.5000 0.5000
Sm 0.5410 0.3274 0.9047
Sm 0.1316 0.0953 0.3274
Sm 0.5543 0.9047 0.6726
Sm 0.7731 0.6726 0.0953
Sm 0.4590 0.6726 0.0953
Sm 0.7500 0.5000 0.5000
Sm 0.2269 0.3274 0.9047
Sm 0.4457 0.0953 0.3274
Sm 0.8684 0.9047 0.6726

Entry 17:
Density functional theory data (PBE-GGA) for crystalline SrPmP2Pd2 at its relaxed geometry.

Computed properties:
- N(E_F) (states/eV/atom) = 0.283
- density (g cm⁻³) = 6.6
- E (eV per atom) = -5.755
- space group = No. 164
- DFT formation energy (eV/atom) = -1.15

abc: 4.1947 4.1947 8.3351
angles: 90.00 90.00 120.00
Fractional coordinates of all 6 atoms:
Sr 0.0000 0.0000 0.0000
Pm 0.0000 0.0000 0.5000
P 0.3333 0.6667 0.2699
P 0.6667 0.3333 0.7301
Pd 0.3333 0.6667 0.7389
Pd 0.6667 0.3333 0.2611

Entry 18:
Density functional theory data (PBE-GGA) for crystalline In2AgPd4 at its relaxed geometry.

Computed properties:
- N(E_F) (states/eV/atom) = 0.314
- density (g cm⁻³) = 10.2
- E (eV per atom) = -4.427
- space group = No. 11
- DFT formation energy (eV/atom) = -0.27

abc: 4.7747 5.6649 9.5099
angles: 90.00 105.55 90.00
Fractional coordinates of all 14 atoms:
In 0.4693 0.7500 0.9966
In 0.5307 0.2500 0.0034
In 0.1656 0.2500 0.4323
In 0.8344 0.7500 0.5677
Ag 0.0639 0.7500 0.1591
Ag 0.9361 0.2500 0.8409
Pd 0.6415 0.5012 0.2768
Pd 0.8987 0.7500 0.8526
Pd 0.1013 0.2500 0.1474
Pd 0.6415 0.9988 0.2768
Pd 0.7258 0.2500 0.5538
Pd 0.3585 0.0012 0.7232
Pd 0.3585 0.4988 0.7232
Pd 0.2742 0.7500 0.4462

Entry 19:
Density functional theory data (PBE-GGA) for crystalline HfSe2 at its relaxed geometry.

Computed properties:
- N(E_F) (states/eV/atom) = 0.000
- density (g cm⁻³) = 6.8
- E (eV per atom) = -6.994
- space group = No. 164
- formation energy without anion corrections (eV/atom) = -1.353

abc: 3.7680 3.7682 6.7208
angles: 89.99 90.00 120.00
Fractional coordinates of all 3 atoms:
Hf 0.0000 0.0000 0.0000
Se 0.3333 0.6667 0.2343
Se 0.6667 0.3333 0.7657

Entry 20:
Density functional theory data (PBE-GGA) for crystalline LiCa2GePd6 at its relaxed geometry.

Computed properties:
- N(E_F) (states/eV/atom) = 0.239
- density (g cm⁻³) = 6.8
- E (eV per atom) = -4.599
- space group = No. 2
- DFT formation energy (eV/atom) = -0.43

abc: 6.8257 6.2140 6.5462
angles: 64.08 56.05 91.09
Fractional coordinates of all 10 atoms:
Li 0.0000 0.0000 0.0000
Ca 0.2320 0.7673 0.4542
Ca 0.7680 0.2327 0.5458
Ge 0.5000 0.5000 0.0000
Pd 0.2427 0.7580 0.9638
Pd 0.7684 0.6747 0.0638
Pd 0.3298 0.2325 0.5065
Pd 0.7573 0.2420 0.0362
Pd 0.2316 0.3253 0.9362
Pd 0.6702 0.7675 0.4935